Entry 1:
VASP calculation (PBE) on crystalline KCdW2 at its relaxed geometry.

Calculated values
* calculated formation energy: 1.430 eV per atom
* V: 20.49 Å³ per atom
* spin magnetization: 0.00 μB/f.u.
* total energy: -5.550 eV/atom

Cell: 5.6163 10.8756 2.6834 Å, 90.00 90.00 90.00°
Closest atoms and distances in Å follow each position.
Space group Cmmm (No. 65)
Symmetry-distinct sites (fractional):
1 K 0.0000 0.0000 0.0000 x2  2 K 2.68, 2 Cd 2.81
2 Cd 0.0000 0.5000 0.0000 x2  2 Cd 2.68, 2 K 2.81
3 W 0.2500 0.2500 0.5000 x4  4 W 2.68-2.81

Entry 2:
VASP calculation (PBE) on crystalline In3AuO at its relaxed geometry.

Calculated values
* energy relative to the lowest polymorph listed for this composition: 0.00 eV/f.u.
* V: 22.02 Å³ per atom
* E_form (uncorrected): -208 meV per atom
* spin magnetization: 0.00 μB/f.u.
* total energy: -3.499 eV/atom

Cell: 4.7927 4.7927 4.7927 Å, 90.00 90.00 90.00°
Closest atoms and distances in Å follow each position.
Space group Pm-3m (No. 221)
Symmetry-distinct sites (fractional):
1 In 0.0000 0.0000 0.5000 x3  2 O 2.40
2 Au 0.5000 0.5000 0.5000 x1  12 In 3.39
3 O 0.0000 0.0000 0.0000 x1  6 In 2.40

Entry 3:
VASP calculation (PBE) on crystalline AlHg5 at its relaxed geometry.

Calculated values
* energy relative to the lowest polymorph listed for this composition: 0.00 eV/f.u.
* calculated formation energy: 0.075 eV per atom
* V: 25.41 Å³ per atom
* spin magnetization: 0.00 μB/f.u.
* total energy: -0.800 eV/atom

Cell: 13.5317 3.1678 7.1164 Å, 90.00 91.71 90.00°
Closest atoms and distances in Å follow each position.
Space group Cm (No. 8)
Symmetry-distinct sites (fractional):
1 Al 0.0000 0.0000 0.0000 x2  7 Hg 2.74-2.93
2 Hg 0.0682 0.0000 0.6420 x2  1 Al 2.74
3 Hg 0.1770 0.5000 0.0927 x2  2 Al 2.93, 5 Hg 3.00-3.21
4 Hg 0.2586 0.5000 0.4898 x2  9 Hg 3.00-3.24
5 Hg 0.3354 0.0000 0.8512 x2  2 Al 2.91, 6 Hg 3.17-3.21
6 Hg 0.4456 0.0000 0.3250 x2  2 Al 2.92, 6 Hg 3.17-3.24

Entry 4:
VASP calculation (PBE) on crystalline SiOsPt2 at its relaxed geometry.

Calculated values
* V: 14.58 Å³ per atom
* E_form (uncorrected): -72 meV per atom
* spin magnetization: 0.00 μB/f.u.
* total energy: -7.256 eV/atom

Cell: 2.8231 2.8231 25.3452 Å, 90.00 90.00 120.00°
Closest atoms and distances in Å follow each position.
Space group R-3m (No. 166, hexagonal axes)
Symmetry-distinct sites (fractional):
1 Si 0.0000 0.0000 0.0000 x3  6 Pt 2.51
2 Os 0.0000 0.0000 0.5000 x3  6 Os 2.82, 6 Pt 2.84
3 Pt 0.0000 0.0000 0.2582 x6  3 Si 2.51

Entry 5:
VASP calculation (PBE) on crystalline Tm4Pt at its relaxed geometry.

Calculated values
* energy relative to the lowest polymorph listed for this composition: 0.00 eV/f.u.
* calculated formation energy: -0.498 eV per atom
* V: 28.46 Å³ per atom
* spin magnetization: 0.00 μB/f.u.
* total energy: -5.283 eV/atom

Cell: 8.6524 8.6524 7.6040 Å, 90.00 90.00 90.00°
Closest atoms and distances in Å follow each position.
Space group I-42d (No. 122)
Symmetry-distinct sites (fractional):
1 Tm 0.0397 0.1977 0.3415 x16  1 Pt 2.73
2 Pt 0.0000 0.0000 0.0000 x4  4 Tm 2.73

Entry 6:
VASP calculation (PBE) on crystalline PbI2NO at its relaxed geometry.

Calculated values
* energy relative to the lowest polymorph listed for this composition: 0.00 eV/f.u.
* V: 23.27 Å³ per atom
* E_form (uncorrected): 906 meV per atom
* spin magnetization: 0.00 μB/f.u.
* total energy: -3.113 eV/atom

Cell: 4.9612 4.9612 4.7277 Å, 90.00 90.00 90.00°
Closest atoms and distances in Å follow each position.
Space group P4/mmm (No. 123)
Symmetry-distinct sites (fractional):
1 Pb 0.0000 0.0000 0.0000 x1  8 I 3.43, 4 O 3.51
2 I 0.0000 0.5000 0.5000 x2  2 N 2.48
3 N 0.5000 0.5000 0.5000 x1  2 O 2.36, 4 I 2.48
4 O 0.5000 0.5000 0.0000 x1  2 N 2.36

Entry 7:
VASP calculation (PBE) on crystalline ScB at its relaxed geometry.

Calculated values
* calculated formation energy: -0.419 eV per atom
* V: 15.40 Å³ per atom
* spin magnetization: 0.00 μB/f.u.
* total energy: -6.923 eV/atom

Cell: 8.8378 8.8378 3.1556 Å, 90.00 90.00 90.00°
Closest atoms and distances in Å follow each position.
Space group I4/mmm (No. 139)
Symmetry-distinct sites (fractional):
1 Sc 0.0000 0.2695 0.0000 x8  6 B 2.44-2.57
2 B 0.2245 0.2245 0.5000 x8  2 B 1.70

Entry 8:
VASP calculation (PBE) on crystalline LiHf2Mn2 at its relaxed geometry.

Calculated values
* calculated formation energy: 0.183 eV per atom
* V: 16.68 Å³ per atom
* spin magnetization: 0.00 μB/f.u.
* total energy: -7.849 eV/atom

Cell: 7.2440 7.2440 3.1793 Å, 90.00 90.00 90.00°
Closest atoms and distances in Å follow each position.
Space group P4/mbm (No. 127)
Symmetry-distinct sites (fractional):
1 Li 0.0000 0.0000 0.0000 x2  4 Mn 2.98, 8 Hf 3.07, 2 Li 3.18
2 Hf 0.1918 0.3082 0.5000 x4  6 Mn 2.65-2.73
3 Mn 0.1013 0.6013 0.0000 x4  1 Mn 2.08

Entry 9:
VASP calculation (PBE) on crystalline Cd4In8Hg3 at its relaxed geometry.

Calculated values
* calculated formation energy: 0.061 eV per atom
* V: 27.40 Å³ per atom
* spin magnetization: 0.00 μB/f.u.
* total energy: -1.703 eV/atom

Cell: 11.8993 11.9832 5.9676 Å, 90.00 104.97 90.00°
Closest atoms and distances in Å follow each position.
Space group C2/m (No. 12)
Symmetry-distinct sites (fractional):
1 Cd 0.0000 0.0000 0.0000 x2  6 In 2.98-3.19, 2 Cd 2.98
2 Cd 0.0000 0.0000 0.5000 x2  2 Cd 2.98, 2 In 3.03
3 Cd 0.2500 0.2500 0.0000 x4  4 In 2.97-3.13, 2 Hg 2.98
4 In 0.0000 0.2485 0.0000 x4  3 Cd 2.97-2.98, 1 Hg 3.01, 2 In 3.26
5 In 0.0000 0.3579 0.5000 x4  4 Hg 3.24-3.44, 5 In 3.26-3.41
6 In 0.2373 0.0000 0.8437 x4  2 In 2.99, 1 Hg 3.02, 4 Cd 3.03-3.19
7 In 0.2473 0.5000 0.6483 x4  4 In 2.99-3.32, 2 Hg 3.13, 2 Cd 3.19-3.35
8 Hg 0.0000 0.5000 0.0000 x2  4 In 3.01-3.02
9 Hg 0.2500 0.2500 0.5000 x4  2 Cd 2.98, 4 In 3.13-3.24

Entry 10:
VASP calculation (PBE) on crystalline Nb3AlSe at its relaxed geometry.

Calculated values
* energy relative to the lowest polymorph listed for this composition: 0.00 eV/f.u.
* V: 21.27 Å³ per atom
* E_form (uncorrected): 591 meV per atom
* spin magnetization: 0.00 μB/f.u.
* total energy: -6.896 eV/atom

Cell: 4.7378 4.7378 4.7378 Å, 90.00 90.00 90.00°
Closest atoms and distances in Å follow each position.
Space group Pm-3m (No. 221)
Symmetry-distinct sites (fractional):
1 Nb 0.0000 0.0000 0.5000 x3  2 Se 2.37
2 Al 0.5000 0.5000 0.5000 x1  12 Nb 3.35
3 Se 0.0000 0.0000 0.0000 x1  6 Nb 2.37

Entry 11:
VASP calculation (PBE) on crystalline ScZn5Pd at its relaxed geometry.

Calculated values
* calculated formation energy: -0.185 eV per atom
* V: 17.22 Å³ per atom
* spin magnetization: 0.00 μB/f.u.
* total energy: -2.741 eV/atom

Cell: 5.2074 8.1311 5.6952 Å, 90.00 90.00 90.00°
Closest atoms and distances in Å follow each position.
Space group Cmmm (No. 65)
Symmetry-distinct sites (fractional):
1 Sc 0.0000 0.0000 0.0000 x2  10 Zn 2.83-2.85
2 Zn 0.0000 0.0000 0.5000 x2  2 Pd 2.60, 8 Zn 2.78, 2 Sc 2.85
3 Zn 0.2500 0.2500 0.2596 x8  5 Zn 2.60-2.78, 2 Pd 2.78, 2 Sc 2.83
4 Pd 0.0000 0.5000 0.5000 x2  10 Zn 2.60-2.78

Entry 12:
VASP calculation (PBE) on crystalline CaThSe2 at its relaxed geometry.

Calculated values
* energy relative to the lowest polymorph listed for this composition: 0.29 eV/f.u.
* V: 26.37 Å³ per atom
* E_form (uncorrected): -1648 meV per atom
* spin magnetization: 0.00 μB/f.u.
* total energy: -5.746 eV/atom

Cell: 3.9784 3.9784 23.0892 Å, 90.00 90.00 120.00°
Closest atoms and distances in Å follow each position.
Space group R3m (No. 160, hexagonal axes)
Symmetry-distinct sites (fractional):
1 Ca 0.0000 0.0000 0.0000 x3  6 Se 2.91-3.03
2 Th 0.0000 0.0000 0.1723 x3  6 Se 3.01-3.05
3 Se 0.0000 0.0000 0.5896 x3  3 Ca 2.91, 3 Th 3.01
4 Se 0.0000 0.0000 0.7521 x3  3 Ca 3.03, 3 Th 3.05

Entry 13:
VASP calculation (PBE) on crystalline PtI2O2 at its relaxed geometry.

Calculated values
* energy relative to the lowest polymorph listed for this composition: 0.66 eV/f.u.
* V: 20.70 Å³ per atom
* E_form (uncorrected): 416 meV per atom
* spin magnetization: 1.65 μB/f.u.
* total energy: -3.396 eV/atom

Cell: 4.1717 4.1717 5.9479 Å, 90.00 90.00 90.00°
Closest atoms and distances in Å follow each position.
Space group P4/mmm (No. 123)
Symmetry-distinct sites (fractional):
1 Pt 0.0000 0.0000 0.0000 x1  4 O 2.09
2 I 0.0000 0.0000 0.5000 x1  4 I 2.95, 2 Pt 2.97
3 I 0.5000 0.5000 0.5000 x1  4 I 2.95
4 O 0.0000 0.5000 0.0000 x2  2 Pt 2.09